KLi2FeO3 | PBE+U | relaxed

The structure in extended XYZ format:
```
14
Lattice="-0.849 -5.175 -1.696 0.020 -0.180 5.544 -5.985 0.965 0.053" Properties=species:S:1:pos:R:3 pbc="T T T"
K -1.719 -1.220 1.624
K -5.111 -3.243 2.115
Li -3.381 -3.236 -0.313
Li -0.808 -3.650 -0.336
Li -3.448 -1.230 4.055
Li -6.022 -0.815 4.077
Fe -2.192 -4.235 2.995
Fe -4.637 -0.229 0.743
O 0.012 -0.217 5.463
O -2.980 0.265 5.489
O -4.671 -0.539 2.576
O -4.907 -1.851 -0.239
O -2.159 -3.925 1.163
O -1.922 -2.614 3.979
```

Energy ... -0.1940 Ha/atom
Spin magnetization ... 5.00 μB per formula unit
DOS at the Fermi energy ... 0.0 states/eV/cell